# 1
Compound: Tl2Ge3Au5
Source: Alexandria
Functional: GGA-PBE
Structure: optimized geometry

Computed properties:
ρ ... 12.0 Mg/m³
Magnetization ... 0.00 μB/f.u.

a = 8.899 Å, b = 8.899 Å, c = 8.899 Å
α = 104.01°, β = 91.88°, γ = 136.48°
Fractional coordinates of all 20 atoms:
Tl 0.135 0.238 0.373
Tl 0.365 0.738 0.102
Tl 0.635 0.262 0.898
Tl 0.865 0.762 0.627
Ge 0.134 0.889 0.023
Ge 0.250 0.750 0.500
Ge 0.366 0.389 0.755
Ge 0.634 0.611 0.245
Ge 0.750 0.250 0.500
Ge 0.866 0.111 0.977
Au 0.017 0.750 0.267
Au 0.099 0.658 0.757
Au 0.250 0.250 0.000
Au 0.401 0.158 0.559
Au 0.483 0.750 0.733
Au 0.517 0.250 0.267
Au 0.599 0.842 0.441
Au 0.750 0.750 0.000
Au 0.901 0.342 0.243
Au 0.983 0.250 0.733

---

# 2
Compound: TlZnGeAu3
Source: Alexandria
Functional: GGA-PBE
Structure: optimized geometry

Computed properties:
ρ ... 10.2 Mg/m³
Magnetization ... 0.00 μB/f.u.

a = 7.950 Å, b = 7.950 Å, c = 5.833 Å
α = 90.00°, β = 90.00°, γ = 124.12°
Fractional coordinates of all 12 atoms:
Tl 0.206 0.794 0.750
Tl 0.794 0.206 0.250
Zn 0.041 0.959 0.250
Zn 0.959 0.041 0.750
Ge 0.402 0.598 0.250
Ge 0.598 0.402 0.750
Au 0.224 0.776 0.250
Au 0.282 0.282 0.000
Au 0.282 0.282 0.500
Au 0.718 0.718 0.000
Au 0.718 0.718 0.500
Au 0.776 0.224 0.750

---

# 3
Compound: TlZn2GeAu
Source: Alexandria
Functional: GGA-PBE
Structure: optimized geometry

Computed properties:
ρ ... 7.8 Mg/m³
Magnetization ... 0.00 μB/f.u.

a = 4.803 Å, b = 4.803 Å, c = 5.565 Å
α = 90.00°, β = 90.00°, γ = 90.00°
Fractional coordinates of all 5 atoms:
Tl 0.000 0.000 0.000
Zn 0.000 0.500 0.500
Zn 0.500 0.000 0.500
Ge 0.000 0.000 0.500
Au 0.500 0.500 0.000

---

Number 1: energy -70.1 eV/cell. Number 2: energy -35.9 eV/cell. Number 3: energy -10.9 eV/cell.